Here is ThInCoNi after structural relaxation from Alexandria via LeMat-Bulk. Energies are from PBE-GGA.

a = 4.7169 Å, b = 4.7169 Å, c = 4.7169 Å
α = 60.00°, β = 60.00°, γ = 60.00°
Sites, in units of the cell vectors:
Th 0.0000 0.0000 0.0000
In 0.5000 0.5000 0.5000
Co 0.7500 0.7500 0.7500
Ni 0.2500 0.2500 0.2500

Output
Uncorrected energy, eV/cell: -23.896
Symmetry: F-43m, No. 216
Total magnetic moment, μB per formula unit: 0.0
Theoretical density, Mg/m³: 10.39
E_form, eV per atom: -0.21